[1]
Entry from the Open Quantum Materials Database: an optimized crystal structure of BaLiCoTe (PBE).

Computed properties:
Its electronic total energy is -57.87 eV/cell. Its distance to the lowest polymorph of the same formula is 0.0 meV/atom.

Lattice parameters (Å, degrees): 6.9566 6.9566 6.9566 90.00 90.00 90.00
Space group F-43m (No. 216)
Symmetry-distinct sites (fractional):
Ba 0.0000 0.0000 0.0000 (multiplicity 4)
Li 0.2500 0.2500 0.2500 (multiplicity 4)
Co 0.2500 0.2500 0.7500 (multiplicity 4)
Te 0.0000 0.0000 0.5000 (multiplicity 4)

***

[2]
Entry from the Open Quantum Materials Database: an optimized crystal structure of BaLiCoTe (PBE).

Computed properties:
Its electronic total energy is -57.25 eV/cell. Its distance to the lowest polymorph of the same formula is 38.4 meV/atom.

Lattice parameters (Å, degrees): 7.7106 7.7106 7.7106 90.00 90.00 90.00
Space group F-43m (No. 216)
Symmetry-distinct sites (fractional):
Ba 0.0000 0.0000 0.0000 (multiplicity 4)
Li 0.0000 0.0000 0.5000 (multiplicity 4)
Co 0.2500 0.2500 0.2500 (multiplicity 4)
Te 0.2500 0.2500 0.7500 (multiplicity 4)

***

[3]
Entry from the Open Quantum Materials Database: an optimized crystal structure of BaLiCoW (PBE).

Computed properties:
Its electronic total energy is -70.32 eV/cell. Its distance to the lowest polymorph of the same formula is 403.2 meV/atom.

Lattice parameters (Å, degrees): 6.8824 6.8824 6.8824 90.00 90.00 90.00
Space group F-43m (No. 216)
Symmetry-distinct sites (fractional):
Ba 0.0000 0.0000 0.0000 (multiplicity 4)
Li 0.0000 0.0000 0.5000 (multiplicity 4)
Co 0.2500 0.2500 0.2500 (multiplicity 4)
W 0.2500 0.2500 0.7500 (multiplicity 4)

***

[4]
Entry from the Open Quantum Materials Database: an optimized crystal structure of BaLiCoW (PBE).

Computed properties:
Its electronic total energy is -76.30 eV/cell. Its distance to the lowest polymorph of the same formula is 29.3 meV/atom.

Lattice parameters (Å, degrees): 6.7886 6.7886 6.7886 90.00 90.00 90.00
Space group F-43m (No. 216)
Symmetry-distinct sites (fractional):
Ba 0.0000 0.0000 0.0000 (multiplicity 4)
Li 0.2500 0.2500 0.2500 (multiplicity 4)
Co 0.2500 0.2500 0.7500 (multiplicity 4)
W 0.0000 0.0000 0.5000 (multiplicity 4)

***

[5]
Entry from the Open Quantum Materials Database: an optimized crystal structure of BaLiCoW (PBE).

Computed properties:
Its electronic total energy is -76.77 eV/cell. Its distance to the lowest polymorph of the same formula is 0.0 meV/atom.

Lattice parameters (Å, degrees): 6.6500 6.6500 6.6500 90.00 90.00 90.00
Space group F-43m (No. 216)
Symmetry-distinct sites (fractional):
Ba 0.0000 0.0000 0.0000 (multiplicity 4)
Li 0.2500 0.2500 0.7500 (multiplicity 4)
Co 0.0000 0.0000 0.5000 (multiplicity 4)
W 0.2500 0.2500 0.2500 (multiplicity 4)

***

[6]
Entry from the Open Quantum Materials Database: an optimized crystal structure of Ba2LuCo (PBE).

Computed properties:
Its electronic total energy is -50.74 eV/cell.

Lattice parameters (Å, degrees): 7.8472 7.8472 7.8472 90.00 90.00 90.00
Space group F-43m (No. 216)
Symmetry-distinct sites (fractional):
Ba 0.0000 0.0000 0.0000 (multiplicity 4)
Ba 0.2500 0.2500 0.2500 (multiplicity 4)
Lu 0.0000 0.0000 0.5000 (multiplicity 4)
Co 0.2500 0.2500 0.7500 (multiplicity 4)

***

[7]
Entry from the Open Quantum Materials Database: an optimized crystal structure of BaLuCo (PBE).

Computed properties:
Its electronic total energy is -38.28 eV/cell. Its distance to the lowest polymorph of the same formula is 909.5 meV/atom.

Lattice parameters (Å, degrees): 6.8821 6.8821 6.8821 90.00 90.00 90.00
Space group F-43m (No. 216)
Symmetry-distinct sites (fractional):
Ba 0.0000 0.0000 0.0000 (multiplicity 4)
Lu 0.2500 0.2500 0.2500 (multiplicity 4)
Co 0.2500 0.2500 0.7500 (multiplicity 4)

***

[8]
Entry from the Open Quantum Materials Database: an optimized crystal structure of BaLuCo (PBE).

Computed properties:
Its electronic total energy is -49.19 eV/cell. Its distance to the lowest polymorph of the same formula is 0.0 meV/atom.

Lattice parameters (Å, degrees): 6.9587 6.9587 6.9587 90.00 90.00 90.00
Space group F-43m (No. 216)
Symmetry-distinct sites (fractional):
Ba 0.0000 0.0000 0.0000 (multiplicity 4)
Lu 0.0000 0.0000 0.5000 (multiplicity 4)
Co 0.2500 0.2500 0.2500 (multiplicity 4)

***

[9]
Entry from the Open Quantum Materials Database: an optimized crystal structure of BaMg2Co (PBE).

Computed properties:
Its electronic total energy is -41.18 eV/cell.

Lattice parameters (Å, degrees): 7.2792 7.2792 7.2792 90.00 90.00 90.00
Space group F-43m (No. 216)
Symmetry-distinct sites (fractional):
Ba 0.0000 0.0000 0.0000 (multiplicity 4)
Mg 0.0000 0.0000 0.5000 (multiplicity 4)
Mg 0.2500 0.2500 0.7500 (multiplicity 4)
Co 0.2500 0.2500 0.2500 (multiplicity 4)

***

[10]
Entry from the Open Quantum Materials Database: an optimized crystal structure of BaMgNbCo (PBE).

Computed properties:
Its electronic total energy is -67.90 eV/cell. Its distance to the lowest polymorph of the same formula is 16.3 meV/atom.

Lattice parameters (Å, degrees): 7.0583 7.0583 7.0583 90.00 90.00 90.00
Space group F-43m (No. 216)
Symmetry-distinct sites (fractional):
Ba 0.0000 0.0000 0.0000 (multiplicity 4)
Mg 0.2500 0.2500 0.2500 (multiplicity 4)
Nb 0.0000 0.0000 0.5000 (multiplicity 4)
Co 0.2500 0.2500 0.7500 (multiplicity 4)

***

[11]
Entry from the Open Quantum Materials Database: an optimized crystal structure of BaMgNbCo (PBE).

Computed properties:
Its electronic total energy is -68.16 eV/cell. Its distance to the lowest polymorph of the same formula is 0.0 meV/atom.

Lattice parameters (Å, degrees): 6.9364 6.9364 6.9364 90.00 90.00 90.00
Space group F-43m (No. 216)
Symmetry-distinct sites (fractional):
Ba 0.0000 0.0000 0.0000 (multiplicity 4)
Mg 0.2500 0.2500 0.7500 (multiplicity 4)
Nb 0.2500 0.2500 0.2500 (multiplicity 4)
Co 0.0000 0.0000 0.5000 (multiplicity 4)

***

[12]
Entry from the Open Quantum Materials Database: an optimized crystal structure of BaMgNbCo (PBE).

Computed properties:
Its electronic total energy is -65.29 eV/cell. Its distance to the lowest polymorph of the same formula is 179.6 meV/atom.

Lattice parameters (Å, degrees): 7.0828 7.0828 7.0828 90.00 90.00 90.00
Space group F-43m (No. 216)
Symmetry-distinct sites (fractional):
Ba 0.0000 0.0000 0.0000 (multiplicity 4)
Mg 0.0000 0.0000 0.5000 (multiplicity 4)
Nb 0.2500 0.2500 0.7500 (multiplicity 4)
Co 0.2500 0.2500 0.2500 (multiplicity 4)